## Pu3Ge5Te12 (PBE)

Data for a relaxed Pu3Ge5Te12 crystal.

Calculated values
- size of the total moment (Bohr magnetons per cell) = 59.83
- DOS(E_F) (states/eV/cell) = 130.99
- ΔE_f (raw) (kJ per mole of atoms) = -34.8
- final energy (eV per formula unit) = -111.00

a b c (Å): 15.069 15.069 15.069
angles (deg): 109.47 109.47 109.47
Fractional coordinates of all 80 atoms:
Pu: 0.750 0.375 0.125
Pu: 0.875 0.750 0.125
Pu: 0.375 0.750 0.625
Pu: 0.250 0.125 0.375
Pu: 0.875 0.125 0.250
Pu: 0.375 0.625 0.250
Pu: 0.625 0.375 0.750
Pu: 0.125 0.875 0.750
Pu: 0.750 0.875 0.625
Pu: 0.625 0.250 0.375
Pu: 0.125 0.250 0.875
Pu: 0.250 0.625 0.875
Ge: 0.125 0.375 0.250
Ge: 0.000 0.500 0.000
Ge: 0.000 0.000 0.000
Ge: 0.375 0.250 0.125
Ge: 0.500 0.000 0.500
Ge: 0.500 0.500 0.000
Ge: 0.125 0.750 0.375
Ge: 0.750 0.125 0.875
Ge: 0.750 0.625 0.375
Ge: 0.375 0.125 0.750
Ge: 0.625 0.875 0.250
Ge: 0.500 0.500 0.500
Ge: 0.500 0.000 0.000
Ge: 0.000 0.000 0.500
Ge: 0.250 0.375 0.625
Ge: 0.250 0.875 0.125
Ge: 0.000 0.500 0.500
Ge: 0.875 0.250 0.625
Ge: 0.625 0.750 0.875
Ge: 0.875 0.625 0.750
Te: 0.717 0.131 0.042
Te: 0.325 0.542 0.411
Te: 0.958 0.369 0.283
Te: 0.542 0.217 0.131
Te: 0.586 0.717 0.675
Te: 0.958 0.589 0.175
Te: 0.325 0.783 0.414
Te: 0.089 0.914 0.131
Te: 0.589 0.958 0.675
Te: 0.717 0.586 0.175
Te: 0.783 0.458 0.369
Te: 0.825 0.911 0.042
Te: 0.131 0.717 0.542
Te: 0.369 0.411 0.086
Te: 0.086 0.911 0.369
Te: 0.414 0.131 0.589
Te: 0.086 0.175 0.217
Te: 0.458 0.675 0.089
Te: 0.825 0.914 0.283
Te: 0.131 0.414 0.089
Te: 0.369 0.958 0.783
Te: 0.589 0.631 0.414
Te: 0.911 0.825 0.542
Te: 0.783 0.325 0.914
Te: 0.411 0.369 0.586
Te: 0.089 0.175 0.458
Te: 0.217 0.675 0.086
Te: 0.175 0.086 0.717
Te: 0.631 0.042 0.217
Te: 0.869 0.586 0.911
Te: 0.542 0.325 0.911
Te: 0.586 0.869 0.411
Te: 0.914 0.825 0.783
Te: 0.914 0.089 0.631
Te: 0.869 0.283 0.458
Te: 0.175 0.089 0.958
Te: 0.631 0.589 0.914
Te: 0.411 0.042 0.325
Te: 0.283 0.414 0.825
Te: 0.217 0.542 0.631
Te: 0.911 0.086 0.869
Te: 0.675 0.217 0.586
Te: 0.458 0.783 0.869
Te: 0.042 0.411 0.825
Te: 0.414 0.283 0.325
Te: 0.042 0.631 0.717
Te: 0.675 0.458 0.589
Te: 0.283 0.869 0.958


## Pu5GeTe4 (PBE)

Data for a relaxed Pu5GeTe4 crystal.

Calculated values
- size of the total moment (Bohr magnetons per cell) = 27.89
- DOS(E_F) (states/eV/cell) = 54.88
- ΔE_f (raw) (kJ per mole of atoms) = -89.4
- final energy (eV per formula unit) = -98.11

a b c (Å): 6.217 7.622 7.622
angles (deg): 80.43 65.93 65.93
Fractional coordinates of all 10 atoms:
Pu: 0.903 0.382 0.814
Pu: 0.285 0.814 0.618
Pu: 0.718 0.186 0.382
Pu: 0.099 0.618 0.186
Pu: 0.500 0.000 0.000
Ge: 0.000 0.000 0.000
Te: 0.408 0.398 0.789
Te: 0.805 0.789 0.602
Te: 0.197 0.211 0.398
Te: 0.594 0.602 0.211


## PuGe3Te6 (PBE)

Data for a relaxed PuGe3Te6 crystal.

Calculated values
- size of the total moment (Bohr magnetons per cell) = 9.74
- DOS(E_F) (states/eV/cell) = 25.97
- ΔE_f (raw) (kJ per mole of atoms) = -24.6
- final energy (eV per formula unit) = -49.59

a b c (Å): 4.136 13.095 12.680
angles (deg): 119.79 90.00 90.00
Fractional coordinates of all 20 atoms:
Pu: 0.750 0.081 0.742
Pu: 0.250 0.919 0.258
Ge: 0.750 0.508 0.878
Ge: 0.250 0.492 0.122
Ge: 0.750 0.698 0.420
Ge: 0.250 0.302 0.580
Ge: 0.750 0.166 0.152
Ge: 0.250 0.834 0.848
Te: 0.750 0.467 0.643
Te: 0.250 0.533 0.357
Te: 0.750 0.929 0.078
Te: 0.250 0.071 0.922
Te: 0.750 0.324 0.052
Te: 0.250 0.676 0.948
Te: 0.750 0.719 0.214
Te: 0.250 0.281 0.786
Te: 0.750 0.081 0.474
Te: 0.250 0.919 0.526
Te: 0.750 0.803 0.687
Te: 0.250 0.197 0.313


## PuGeTe (PBE)

Data for a relaxed PuGeTe crystal.

Calculated values
- size of the total moment (Bohr magnetons per cell) = 10.72
- DOS(E_F) (states/eV/cell) = 17.12
- ΔE_f (raw) (kJ per mole of atoms) = -39.8
- final energy (eV per formula unit) = -23.33

a b c (Å): 4.049 4.049 11.190
angles (deg): 100.42 100.42 90.00
Fractional coordinates of all 6 atoms:
Ge: 0.292 0.292 0.584
Ge: 0.708 0.708 0.416
Pu: 0.161 0.161 0.323
Pu: 0.839 0.839 0.677
Te: 0.584 0.584 0.169
Te: 0.416 0.416 0.831


## Pu3GeTe6 (PBE)

Data for a relaxed Pu3GeTe6 crystal.

Calculated values
- size of the total moment (Bohr magnetons per cell) = 10.09
- DOS(E_F) (states/eV/cell) = 71.17
- ΔE_f (raw) (kJ per mole of atoms) = -68.6
- final energy (eV per formula unit) = -73.58

a b c (Å): 7.512 9.611 9.611
angles (deg): 102.08 90.00 90.00
Fractional coordinates of all 20 atoms:
Pu: 0.474 0.920 0.724
Pu: 0.974 0.724 0.920
Pu: 0.393 0.397 0.603
Pu: 0.893 0.603 0.397
Pu: 0.974 0.080 0.276
Pu: 0.474 0.276 0.080
Ge: 0.028 0.198 0.802
Ge: 0.528 0.802 0.198
Te: 0.182 0.693 0.633
Te: 0.682 0.633 0.693
Te: 0.210 0.444 0.909
Te: 0.710 0.909 0.444
Te: 0.187 0.029 0.971
Te: 0.646 0.224 0.776
Te: 0.146 0.776 0.224
Te: 0.687 0.971 0.029
Te: 0.210 0.091 0.556
Te: 0.710 0.556 0.091
Te: 0.182 0.367 0.307
Te: 0.682 0.307 0.367


## Pu4GeTe3 (PBE)

Data for a relaxed Pu4GeTe3 crystal.

Calculated values
- size of the total moment (Bohr magnetons per cell) = 0.17
- DOS(E_F) (states/eV/cell) = 92.07
- ΔE_f (raw) (kJ per mole of atoms) = -82.8
- final energy (eV per formula unit) = -78.23

a b c (Å): 7.569 7.564 8.801
angles (deg): 90.00 90.00 109.54
Fractional coordinates of all 16 atoms:
Ge: 0.750 0.000 0.870
Ge: 0.250 0.000 0.130
Te: 0.750 0.000 0.375
Te: 0.250 0.000 0.625
Te: 0.750 0.500 0.624
Te: 0.750 0.500 0.125
Te: 0.250 0.500 0.376
Te: 0.250 0.500 0.875
Pu: 0.991 0.242 0.632
Pu: 0.500 0.232 0.887
Pu: 0.491 0.242 0.368
Pu: 0.000 0.232 0.113
Pu: 0.000 0.768 0.887
Pu: 0.509 0.758 0.632
Pu: 0.500 0.768 0.113
Pu: 0.009 0.758 0.368


## PuGeTe2 (PBE)

Data for a relaxed PuGeTe2 crystal.

Calculated values
- size of the total moment (Bohr magnetons per cell) = 6.00
- DOS(E_F) (states/eV/cell) = 13.74
- ΔE_f (raw) (kJ per mole of atoms) = -46.5
- final energy (eV per formula unit) = -27.16

a b c (Å): 4.357 4.357 7.724
angles (deg): 73.62 73.62 60.00
Fractional coordinates of all 4 atoms:
Ge: 0.000 0.000 0.000
Te: 0.255 0.255 0.236
Te: 0.745 0.745 0.764
Pu: 0.500 0.500 0.500


## PuGeTe2 (PBE)

Data for a relaxed PuGeTe2 crystal.

Calculated values
- size of the total moment (Bohr magnetons per cell) = 6.00
- DOS(E_F) (states/eV/cell) = 11.44
- ΔE_f (raw) (kJ per mole of atoms) = -45.2
- final energy (eV per formula unit) = -27.11

a b c (Å): 4.239 4.239 8.033
angles (deg): 74.70 74.70 60.01
Fractional coordinates of all 4 atoms:
Pu: 0.500 0.500 0.500
Ge: 0.665 0.665 0.004
Te: 0.078 0.078 0.765
Te: 0.256 0.256 0.231


## PuGe2Te4 (PBE)

Data for a relaxed PuGe2Te4 crystal.

Calculated values
- size of the total moment (Bohr magnetons per cell) = 5.64
- DOS(E_F) (states/eV/cell) = 14.86
- ΔE_f (raw) (kJ per mole of atoms) = -17.9
- final energy (eV per formula unit) = -37.43

a b c (Å): 6.785 6.785 6.785
angles (deg): 105.16 105.16 118.49
Fractional coordinates of all 7 atoms:
Pu: 0.500 0.500 0.000
Ge: 0.250 0.750 0.500
Ge: 0.750 0.250 0.500
Te: 0.297 0.170 0.466
Te: 0.830 0.297 0.127
Te: 0.170 0.703 0.873
Te: 0.703 0.830 0.534


## Pu6GeTe5 (PBE)

Data for a relaxed Pu6GeTe5 crystal.

Calculated values
- size of the total moment (Bohr magnetons per cell) = 33.80
- DOS(E_F) (states/eV/cell) = 65.63
- ΔE_f (raw) (kJ per mole of atoms) = -92.8
- final energy (eV per formula unit) = -117.85

a b c (Å): 7.632 7.640 7.646
angles (deg): 60.03 80.37 70.45
Fractional coordinates of all 12 atoms:
Ge: 0.000 0.000 0.000
Te: 0.500 0.175 0.650
Te: 0.000 0.335 0.329
Te: 0.500 0.500 0.000
Te: 0.000 0.665 0.671
Te: 0.500 0.825 0.350
Pu: 0.762 0.078 0.317
Pu: 0.238 0.605 0.317
Pu: 0.245 0.233 0.000
Pu: 0.755 0.767 0.000
Pu: 0.762 0.395 0.683
Pu: 0.238 0.922 0.683


## PuGeTe2 (PBE)

Data for a relaxed PuGeTe2 crystal.

Calculated values
- size of the total moment (Bohr magnetons per cell) = 23.94
- DOS(E_F) (states/eV/cell) = 38.22
- ΔE_f (raw) (kJ per mole of atoms) = -53.9
- final energy (eV per formula unit) = -27.47

a b c (Å): 4.266 7.150 14.368
angles (deg): 90.00 90.00 90.00
Fractional coordinates of all 16 atoms:
Pu: 0.250 0.438 0.658
Pu: 0.750 0.562 0.342
Pu: 0.250 0.938 0.842
Pu: 0.750 0.062 0.158
Ge: 0.250 0.515 0.879
Ge: 0.750 0.485 0.121
Ge: 0.250 0.015 0.621
Ge: 0.750 0.985 0.379
Te: 0.250 0.739 0.204
Te: 0.750 0.261 0.796
Te: 0.250 0.239 0.296
Te: 0.750 0.761 0.704
Te: 0.250 0.743 0.481
Te: 0.750 0.257 0.519
Te: 0.250 0.243 0.019
Te: 0.750 0.757 0.981


## PuThGeTe (PBE)

Data for a relaxed PuThGeTe crystal.

Calculated values
- size of the total moment (Bohr magnetons per cell) = 5.54
- DOS(E_F) (states/eV/cell) = 12.49
- ΔE_f (raw) (kJ per mole of atoms) = -83.9
- final energy (eV per formula unit) = -32.99

a b c (Å): 4.355 4.355 7.579
angles (deg): 73.30 73.30 60.00
Fractional coordinates of all 4 atoms:
Pu: 0.452 0.452 0.644
Th: 0.935 0.935 0.196
Ge: 0.193 0.193 0.420
Te: 0.697 0.697 0.910